Entry 1:
5
Lattice="4.441 0.000 0.000 0.000 4.441 0.000 0.000 0.000 5.054" Properties=species:S:1:pos:R:3 comment="YZnFeB2 | the Alexandria database | meta-GGA SCAN | single point on PBEsol structure" e_form_mev_per_atom=2168 sg=P4/mmm pbc="T T T"
Y 0.000 0.000 0.000
Zn 0.000 0.000 2.527
B 0.000 2.220 0.000
B 2.220 0.000 0.000
Fe 2.220 2.220 2.527

***

Entry 2:
5
Lattice="-1.886 -2.829 1.509 -1.276 -0.944 -3.365 2.942 -2.224 -0.492" Properties=species:S:1:pos:R:3 comment="ZrFeB3 | the Alexandria database | meta-GGA SCAN | single point on PBEsol structure" e_form_mev_per_atom=140 sg=Pm-3m pbc="T T T"
B -0.638 -0.472 -1.682
B 1.471 -1.112 -0.246
B -0.943 -1.415 0.755
Fe 0.000 0.000 0.000
Zr -0.111 -2.998 -1.174

***

Entry 3:
8
Lattice="-1.070 4.866 -0.100 -4.842 -1.075 -0.486 2.501 -1.903 4.838" Properties=species:S:1:pos:R:3 comment="GaGeB2 | the Alexandria database | meta-GGA SCAN | single point on PBEsol structure" e_form_mev_per_atom=753 sg=I-42d pbc="T T T"
Ge -2.648 -0.541 2.029
Ge 0.000 0.000 0.000
B -3.999 0.345 0.748
B -2.141 3.443 0.939
B 1.201 -0.939 3.562
B -1.883 0.929 3.256
Ga -0.762 2.430 2.223
Ga -2.956 1.896 -0.293

***

Entry 4:
5
Lattice="4.203 0.000 0.000 0.000 4.203 0.000 0.000 0.000 4.213" Properties=species:S:1:pos:R:3 comment="GaSi2GeB | the Alexandria database | meta-GGA SCAN | single point on PBEsol structure" e_form_raw_ev_per_atom=0.736 sg=P4/mmm pbc="T T T"
Ge 2.102 2.102 2.107
B 0.000 0.000 0.000
Si 0.000 2.102 0.000
Si 2.102 0.000 0.000
Ga 0.000 0.000 2.107

***

Entry 5:
48
Lattice="-1.397 -7.239 -2.428 5.588 0.503 5.364 -6.786 3.236 4.925" Properties=species:S:1:pos:R:3 comment="GaBH6 | the Alexandria database | meta-GGA SCAN | single point on PBEsol structure" sg=C2/c dft_energy_ev_per_atom=-5.541 pbc="T T T"
Ga -3.459 2.176 5.199
Ga 0.863 -5.677 2.662
Ga 2.964 -2.665 4.745
Ga -0.470 -0.439 2.566
Ga -5.559 -0.836 3.116
Ga -2.126 -3.062 5.294
B -1.341 -2.134 1.118
B -1.255 -1.366 6.742
B 2.775 -1.805 2.483
B -1.829 1.191 3.744
B -5.370 -1.695 5.378
B -0.766 -4.692 4.116
H 4.109 -1.250 5.299
H -1.978 -1.269 1.757
H -6.704 -2.251 2.561
H -0.618 -2.232 6.103
H -1.856 -3.191 1.454
H -0.129 -2.197 1.270
H -0.739 -0.310 6.406
H -2.466 -1.304 6.590
H -3.129 1.003 6.626
H -2.209 0.812 4.876
H 0.534 -4.503 1.234
H -0.386 -4.313 2.984
H -1.306 3.241 8.796
H -4.158 -1.225 2.619
H -1.290 -6.742 -0.936
H 1.562 -2.276 5.241
H -2.524 -2.217 4.080
H -0.853 0.878 8.797
H -0.072 -1.283 3.781
H -1.743 -4.379 -0.937
H 1.509 0.266 4.747
H 2.150 -5.242 3.380
H -4.104 -3.767 3.113
H -4.746 1.741 4.480
H 1.190 1.576 7.033
H -4.721 -2.666 5.736
H -3.785 -5.077 0.828
H 2.126 -0.834 2.124
H -1.961 -4.899 3.996
H -4.640 -0.742 5.173
H -0.635 1.398 3.864
H 2.045 -2.759 2.687
H -0.394 -3.738 4.830
H -6.067 -2.127 4.436
H -2.201 0.237 3.030
H 3.471 -1.373 3.424

***

Entry 6:
8
Lattice="-1.727 3.724 1.590 -3.777 -0.858 -2.091 0.986 -4.075 4.523" Properties=species:S:1:pos:R:3 comment="Ga2BH | the Alexandria database | meta-GGA SCAN | single point on PBEsol structure" sg=I-42d dft_energy_ev_per_atom=-10.400 pbc="T T T"
H -1.746 0.541 2.931
H -2.752 1.433 -0.251
B -2.771 -1.750 1.090
B 0.000 0.000 0.000
Ga -2.688 1.933 1.744
Ga -3.698 -0.389 -0.110
Ga -2.716 -1.269 3.070
Ga 0.068 -2.695 3.338

***

Which formula does entry 2 have? ZrFeB3